# 1
11
Lattice="9.344 -3.543 0.000 9.344 3.543 0.000 -1.431 0.000 5.797" Properties=species:S:1:pos:R:3 comment="Mn2Hg2Br7, optimized geometry, DFT GGA-PBE" dft_energy_ev_per_cell=-36.14 raw_formation_energy_mev_per_atom=-499 m_tot_mub_per_fu=9.1 pbc="T T T"
Mn 3.588 0.000 2.526
Mn 13.669 0.000 3.271
Hg 9.344 1.343 0.000
Hg 9.344 -1.343 0.000
Br 5.269 1.748 1.770
Br 1.691 0.000 0.664
Br 11.987 1.748 4.027
Br 8.628 0.000 2.898
Br 5.269 -1.748 1.770
Br 15.565 0.000 5.133
Br 11.987 -1.748 4.027

---

# 2
4
Lattice="3.283 0.000 0.000 0.000 3.283 0.000 0.000 0.000 8.120" Properties=species:S:1:pos:R:3 comment="Mn2HgBr, optimized geometry, DFT GGA-PBE" dft_energy_ev_per_cell=-19.44 polymorph_energy_mev_per_atom=12 raw_formation_energy_mev_per_atom=218 m_tot_mub_per_fu=7.8 pbc="T T T"
Mn 0.000 0.000 0.000
Mn 1.641 1.641 1.598
Hg 1.641 1.641 6.484
Br 0.000 0.000 3.022

---

# 3
4
Lattice="3.373 0.000 0.000 0.000 3.373 0.000 0.000 0.000 9.014" Properties=species:S:1:pos:R:3 comment="MnHg2Br, optimized geometry, DFT GGA-PBE" dft_energy_ev_per_cell=-11.36 polymorph_energy_mev_per_atom=46 raw_formation_energy_mev_per_atom=21 m_tot_mub_per_fu=4.5 pbc="T T T"
Mn 0.000 0.000 0.000
Hg 0.000 0.000 4.667
Hg 1.686 1.686 7.192
Br 1.686 1.686 1.487

---

# 4
16
Lattice="7.351 0.000 0.000 0.000 7.351 0.000 0.000 0.000 6.618" Properties=species:S:1:pos:R:3 comment="Mn2HgBr, optimized geometry, DFT GGA-PBE" dft_energy_ev_per_cell=-74.14 polymorph_energy_mev_per_atom=239 raw_formation_energy_mev_per_atom=445 m_tot_mub_per_fu=9.0 pbc="T T T"
Mn 1.782 5.514 0.827
Mn 1.838 1.782 5.791
Mn 1.838 1.894 2.482
Mn 1.894 5.514 4.136
Mn 5.458 1.838 4.136
Mn 5.514 5.458 2.482
Mn 5.514 5.569 5.791
Mn 5.569 1.838 0.827
Hg 0.000 0.000 3.309
Hg 0.000 3.676 4.964
Hg 3.676 0.000 1.655
Hg 3.676 3.676 0.000
Br 0.000 0.000 0.000
Br 0.000 3.676 1.655
Br 3.676 0.000 4.964
Br 3.676 3.676 3.309

---

# 5
16
Lattice="6.805 0.000 0.000 0.000 6.805 0.000 0.000 0.000 6.805" Properties=species:S:1:pos:R:3 comment="Mn2HgBr, optimized geometry, DFT GGA-PBE" dft_energy_ev_per_cell=-72.81 polymorph_energy_mev_per_atom=323 raw_formation_energy_mev_per_atom=528 m_tot_mub_per_fu=7.9 pbc="T T T"
Mn 1.701 1.701 1.701
Mn 1.701 1.701 5.104
Mn 1.701 5.104 1.701
Mn 1.701 5.104 5.104
Mn 5.104 1.701 1.701
Mn 5.104 1.701 5.104
Mn 5.104 5.104 1.701
Mn 5.104 5.104 5.104
Hg 0.000 0.000 0.000
Hg 0.000 3.403 3.403
Hg 3.403 0.000 3.403
Hg 3.403 3.403 0.000
Br 0.000 0.000 3.403
Br 0.000 3.403 0.000
Br 3.403 0.000 0.000
Br 3.403 3.403 3.403

---

# 6
4
Lattice="5.013 0.000 0.000 0.000 5.013 0.000 0.000 0.000 3.153" Properties=species:S:1:pos:R:3 comment="Mn2HgBr, optimized geometry, DFT GGA-PBE" dft_energy_ev_per_cell=-18.51 polymorph_energy_mev_per_atom=247 raw_formation_energy_mev_per_atom=452 m_tot_mub_per_fu=8.2 pbc="T T T"
Mn 0.000 2.506 0.000
Mn 2.506 0.000 0.000
Hg 0.000 0.000 1.576
Br 2.506 2.506 1.576